(1)
{
  "formula": "Li5Mg2AlAg2",
  "functional": "PBE",
  "state": "optimized geometry",
  "space_group": "P4/mbm",
  "delta_e_f_ev_per_atom": -0.10,
  "vol_a3_per_cell": 370.9,
  "lattice": [[4.341, 0.000, 0.000], [0.000, 9.243, 0.000], [0.000, 0.000, 9.243]],
  "species": ["Li", "Li", "Li", "Li", "Li", "Li", "Li", "Li", "Li", "Li", "Mg", "Mg", "Mg", "Mg", "Al", "Al", "Ag", "Ag", "Ag", "Ag"],
  "frac_coords": [[0.500, 0.196, 0.069], [0.500, 0.804, 0.931], [0.500, 0.069, 0.804], [0.500, 0.696, 0.431], [0.500, 0.931, 0.196], [0.500, 0.304, 0.569], [0.500, 0.569, 0.696], [0.500, 0.431, 0.304], [0.500, 0.500, 0.000], [0.500, 0.000, 0.500], [0.000, 0.678, 0.178], [0.000, 0.322, 0.822], [0.000, 0.178, 0.322], [0.000, 0.822, 0.678], [0.000, 0.000, 0.000], [0.000, 0.500, 0.500], [0.000, 0.118, 0.618], [0.000, 0.882, 0.382], [0.000, 0.618, 0.882], [0.000, 0.382, 0.118]]
}

(2)
{
  "formula": "Li2Mg2AlAg2",
  "functional": "PBE",
  "state": "optimized geometry",
  "space_group": "R-3m",
  "delta_e_f_ev_per_atom": -0.18,
  "vol_a3_per_cell": 124.0,
  "lattice": [[-0.969, 0.971, -4.455], [-1.326, -3.406, -2.893], [-7.061, 0.275, -0.843]],
  "species": ["Li", "Li", "Mg", "Mg", "Al", "Ag", "Ag"],
  "frac_coords": [[0.567, 0.567, 0.298], [0.433, 0.433, 0.702], [0.723, 0.723, 0.832], [0.277, 0.277, 0.168], [0.000, 0.000, 0.000], [0.134, 0.134, 0.597], [0.866, 0.866, 0.403]]
}

(3)
{
  "formula": "LiMgAlAg2",
  "functional": "PBE",
  "state": "optimized geometry",
  "space_group": "P4/mmm",
  "delta_e_f_ev_per_atom": 0.52,
  "e_above_lowest_polymorph_mev_per_atom": 694,
  "vol_a3_per_cell": 129.3,
  "lattice": [[5.042, 0.000, 0.000], [0.000, 5.086, 0.000], [0.000, 0.000, 5.042]],
  "species": ["Mg", "Al", "Ag", "Ag", "Li"],
  "frac_coords": [[0.000, 0.000, 0.000], [0.000, 0.500, 0.000], [0.000, 0.000, 0.500], [0.500, 0.000, 0.000], [0.500, 0.500, 0.500]]
}